Density functional theory data (PBE-GGA) for a relaxed YPuGaOs crystal.

The structure in POSCAR format:
```
YPuGaOs
1.0
4.9243 0.0000 0.0000
2.4621 4.2645 0.0000
2.4621 1.4215 4.0207
Y Os Ga Pu
1 1 1 1
Direct
0.7500 0.7500 0.7500
0.5000 0.5000 0.5000
0.0000 0.0000 0.0000
0.2500 0.2500 0.2500
```

Results
Uncorrected energy, eV per cell: -35.8
Crystal system: cubic
DFT formation energy, meV/atom: -184.2
Density, g/cm3: 11.66